CsNbTe2I, optimized geometry, DFT PBE-GGA; electronic total energy = -21.290 eV per cell; symmetry = No. 123
1.0
5.501 0.000 0.000
0.000 5.501 0.000
0.000 0.000 6.143
Cs Nb Te I
1 1 2 1
Direct
0.000 0.000 0.000 Cs
0.500 0.500 0.500 Nb
0.000 0.500 0.500 Te
0.500 0.000 0.500 Te
0.500 0.500 0.000 I

Hg2SbRh, optimized geometry, DFT PBE-GGA; electronic total energy = -12.383 eV per cell; symmetry = No. 99
1.0
3.164 0.000 0.000
0.000 3.164 0.000
0.000 0.000 9.166
Hg Sb Rh
2 1 1
Direct
0.000 0.000 0.000 Hg
0.500 0.500 0.283 Hg
0.500 0.500 0.665 Sb
0.000 0.000 0.495 Rh

KMgSn2Rh, optimized geometry, DFT PBE-GGA; energy relative to the elements = -0.209 eV per atom; symmetry = No. 123
1.0
5.190 0.000 0.000
0.000 5.190 0.000
0.000 0.000 5.113
K Mg Sn Rh
1 1 2 1
Direct
0.000 0.000 0.000 K
0.500 0.500 0.000 Mg
0.000 0.500 0.500 Sn
0.500 0.000 0.500 Sn
0.500 0.500 0.500 Rh

Sr2Mg, optimized geometry, DFT PBE-GGA; energy relative to the elements = 0.079 eV per atom; symmetry = No. 189
1.0
6.908 0.000 0.000
-3.454 5.983 0.000
0.000 0.000 6.258
Sr Mg
4 2
Direct
0.000 0.000 0.000 Sr
0.000 0.646 0.500 Sr
0.354 0.354 0.500 Sr
0.646 0.000 0.500 Sr
0.333 0.667 0.000 Mg
0.667 0.333 0.000 Mg

KPa2I11, optimized geometry, DFT PBE-GGA; electronic total energy = -101.446 eV per cell; symmetry = No. 72
1.0
-7.065 7.122 8.043
7.065 -7.122 8.043
7.065 7.122 -8.043
K Pa I
2 4 22
Direct
0.250 0.250 0.000 K
0.750 0.750 0.000 K
0.156 0.657 0.813 Pa
0.344 0.157 0.502 Pa
0.656 0.843 0.498 Pa
0.844 0.343 0.187 Pa
0.000 0.500 0.500 I
0.079 0.369 0.190 I
0.114 0.922 0.295 I
0.128 0.422 0.809 I
0.179 0.889 0.810 I
0.202 0.300 0.502 I
0.298 0.800 0.097 I
0.321 0.131 0.710 I
0.372 0.181 0.295 I
0.386 0.681 0.809 I
0.421 0.611 0.290 I
0.500 0.000 0.500 I
0.579 0.389 0.710 I
0.614 0.319 0.191 I
0.628 0.819 0.705 I
0.679 0.869 0.290 I
0.702 0.200 0.903 I
0.798 0.700 0.498 I
0.821 0.111 0.190 I
0.872 0.578 0.191 I
0.886 0.078 0.705 I
0.921 0.631 0.810 I

CsZnRu2O8, optimized geometry, DFT PBE-GGA; electronic total energy = -72.141 eV per cell; symmetry = No. 148
1.0
2.684 1.550 8.875
-2.684 1.550 8.875
0.000 -3.100 8.875
Cs Zn Ru O
1 1 2 8
Direct
0.000 0.000 0.000 Cs
0.500 0.500 0.500 Zn
0.233 0.233 0.233 Ru
0.767 0.767 0.767 Ru
0.120 0.492 0.751 O
0.249 0.880 0.508 O
0.299 0.299 0.299 O
0.492 0.751 0.120 O
0.508 0.249 0.880 O
0.701 0.701 0.701 O
0.751 0.120 0.492 O
0.880 0.508 0.249 O

K2VRu, optimized geometry, DFT PBE-GGA; energy relative to the elements = 1.077 eV per atom; excess energy over the best structure of this formula in the dataset = 0.000 eV/atom; symmetry = No. 122
1.0
12.618 0.000 0.000
0.000 12.618 0.000
0.000 0.000 4.499
K V Ru
8 4 4
Direct
0.076 0.750 0.125 K
0.250 0.076 0.875 K
0.250 0.424 0.375 K
0.424 0.750 0.625 K
0.576 0.250 0.625 K
0.750 0.576 0.375 K
0.750 0.924 0.875 K
0.924 0.250 0.125 K
0.000 0.000 0.500 V
0.000 0.500 0.750 V
0.500 0.000 0.250 V
0.500 0.500 0.000 V
0.000 0.000 0.000 Ru
0.000 0.500 0.250 Ru
0.500 0.000 0.750 Ru
0.500 0.500 0.500 Ru

GaBiH3, optimized geometry, DFT PBE-GGA; excess energy over the best structure of this formula in the dataset = 0.020 eV/atom; symmetry = No. 221
1.0
4.294 0.000 0.000
0.000 4.294 0.000
0.000 0.000 4.294
Ga Bi H
1 1 3
Direct
0.000 0.000 0.000 Ga
0.500 0.500 0.500 Bi
0.000 0.500 0.500 H
0.500 0.000 0.500 H
0.500 0.500 0.000 H

| no. | total magnetic moment (μB/f.u.) |
| --- | --- |
| 1 | 0.99 |
| 2 | 0.00 |
| 3 | 0.00 |
| 4 | 0.00 |
| 5 | 0.00 |
| 6 | 3.03 |
| 7 | 1.93 |
| 8 | 0.00 |